Computed, not measured: crystalline AcTb2Nd5Er at its relaxed geometry at the PBE level of DFT.

Cell: 5.5867 24.5346 9.5025 Å, 90.00 90.00 90.00°
With the nearest neighbours (Å) after each atom.
Space group Cmc2_1 (No. 36)
Symmetry-distinct sites (fractional):
Ac1 0.0000 0.1020 0.0000 [4 per cell]  5 Nd 3.48-3.76
Tb1 0.0000 0.3264 0.2513 [4 per cell]  6 Nd 3.35-3.70, 1 Er 3.74
Tb2 0.0000 0.3876 0.8536 [4 per cell]  9 Nd 3.44-3.81
Nd1 0.0000 0.0243 0.3265 [4 per cell]  3 Nd 3.32-3.58, 2 Ac 3.51-3.64, 2 Tb 3.54
Nd2 0.0000 0.1066 0.6040 [4 per cell]  4 Nd 3.32-3.66, 4 Tb 3.53-3.67
Nd3 0.0000 0.1907 0.2949 [4 per cell]  3 Tb 3.35-3.44, 3 Er 3.46-3.50, 4 Nd 3.51-3.64, 1 Ac 3.55
Nd4 0.0000 0.2417 0.9357 [4 per cell]  3 Er 3.15-3.24, 1 Ac 3.48, 2 Nd 3.51
Nd5 0.0000 0.4899 0.1076 [4 per cell]  2 Tb 3.48-3.81, 6 Nd 3.58-3.88
Er1 0.0000 0.2622 0.6086 [4 per cell]  6 Nd 3.15-3.50

Output
**D(E_F)**: 1.263 states/eV/atom
**Volume**: 36.18 Å³ per atom
**Final energy**: -4.500 eV/atom
**Formation enthalpy at 0 K**: 0.14 eV/atom